Crystalline La2Sm3YSe6 at its relaxed geometry, computed with PBE-GGA.

Structure (POSCAR):
```
La2Sm3YSe6
1.0
9.153 -2.096 0.000
9.153 2.096 0.000
-1.935 0.000 8.232
La Sm Y Se
2 3 1 6
direct
0.166 0.166 0.334
0.834 0.834 0.666
0.169 0.169 0.834
0.500 0.500 0.500
0.831 0.831 0.166
0.500 0.500 0.000
0.004 0.004 0.757
0.336 0.336 0.411
0.337 0.337 0.925
0.663 0.663 0.075
0.664 0.664 0.589
0.996 0.996 0.243
```

## Properties
* spin magnetization: 0.00 μB/cell
* theoretical density: 6.79 g/cm³
* formation energy from raw total energies: -1.867 eV per atom


Crystalline NdDyTh at its relaxed geometry, computed with PBE-GGA.

Structure (POSCAR):
```
NdDyTh
1.0
8.948 0.000 0.000
0.000 6.903 0.000
-1.450 0.000 6.510
Nd Dy Th
4 4 4
direct
0.166 0.100 0.160
0.166 0.400 0.660
0.834 0.600 0.340
0.834 0.900 0.840
0.176 0.602 0.137
0.176 0.898 0.637
0.824 0.102 0.363
0.824 0.398 0.863
0.497 0.221 0.583
0.497 0.279 0.083
0.503 0.721 0.917
0.503 0.779 0.417
```

## Properties
* spin magnetization: 0.00 μB/cell
* ΔH_f (0 K): 0.171 eV/atom
* distance to the lowest polymorph of the same formula: 141.1 meV per atom
* theoretical density: 8.90 g/cm³


Crystalline KPm2IrO6 at its relaxed geometry, computed with PBE-GGA.

Structure (POSCAR):
```
KPm2IrO6
1.0
2.929 1.691 5.424
-2.929 1.691 5.424
0.000 -3.382 5.424
K Pm Ir O
1 2 1 6
direct
0.000 0.000 0.000
0.235 0.235 0.235
0.759 0.759 0.759
0.428 0.428 0.428
0.055 0.566 0.426
0.213 0.465 0.800
0.426 0.055 0.566
0.465 0.800 0.213
0.566 0.426 0.055
0.800 0.213 0.465
```

## Properties
* spin magnetization: 2.01 μB/cell
* theoretical density: 6.36 g/cm³
* formation energy from raw total energies: -2.127 eV per atom


Crystalline La2CdCl at its relaxed geometry, computed with PBE-GGA.

Structure (POSCAR):
```
La2CdCl
1.0
3.707 0.000 0.000
0.000 3.707 0.000
0.000 0.000 10.058
La Cd Cl
2 1 1
direct
0.000 0.000 0.000
0.500 0.500 0.297
0.000 0.000 0.505
0.500 0.500 0.853
```

## Properties
* spin magnetization: 1.30 μB/cell
* distance to the lowest polymorph of the same formula: 229.9 meV per atom
* theoretical density: 5.11 g/cm³
* formation energy from raw total energies: -0.641 eV per atom


Crystalline Os3Cl at its relaxed geometry, computed with PBE-GGA.

Structure (POSCAR):
```
Os3Cl
1.0
-1.384 4.415 2.496
1.384 -4.415 2.496
1.384 4.415 -2.496
Os Cl
3 1
direct
0.000 0.000 0.000
0.086 0.352 0.734
0.618 0.352 0.266
0.406 0.906 0.500
```

## Properties
* spin magnetization: 0.00 μB/cell
* distance to the lowest polymorph of the same formula: 421.6 meV per atom
* theoretical density: 16.49 g/cm³
* formation energy from raw total energies: 1.037 eV per atom


Crystalline Nd4ScIn2 at its relaxed geometry, computed with PBE-GGA.

Structure (POSCAR):
```
Nd4ScIn2
1.0
6.401 0.000 0.000
2.691 7.154 0.000
2.971 1.184 9.417
Nd Sc In
8 2 4
direct
0.000 0.000 0.000
0.010 0.565 0.449
0.045 0.079 0.351
0.455 0.001 0.591
0.500 0.067 0.961
0.512 0.497 0.488
0.556 0.563 0.858
0.966 0.486 0.098
0.160 0.369 0.776
0.851 0.195 0.673
0.006 0.782 0.725
0.362 0.706 0.169
0.505 0.282 0.224
0.648 0.858 0.279
```

## Properties
* spin magnetization: 0.00 μB/cell
* ΔH_f (0 K): -0.163 eV/atom
* distance to the lowest polymorph of the same formula: 0.0 meV per atom
* theoretical density: 6.56 g/cm³


Repeat the second record exactly.
Crystalline NdDyTh at its relaxed geometry, computed with PBE-GGA.

Structure (POSCAR):
```
NdDyTh
1.0
8.948 0.000 0.000
0.000 6.903 0.000
-1.450 0.000 6.510
Nd Dy Th
4 4 4
direct
0.166 0.100 0.160
0.166 0.400 0.660
0.834 0.600 0.340
0.834 0.900 0.840
0.176 0.602 0.137
0.176 0.898 0.637
0.824 0.102 0.363
0.824 0.398 0.863
0.497 0.221 0.583
0.497 0.279 0.083
0.503 0.721 0.917
0.503 0.779 0.417
```

## Properties
* spin magnetization: 0.00 μB/cell
* ΔH_f (0 K): 0.171 eV/atom
* distance to the lowest polymorph of the same formula: 141.1 meV per atom
* theoretical density: 8.90 g/cm³


What did the fifth record say?
Crystalline Os3Cl at its relaxed geometry, computed with PBE-GGA.

Structure (POSCAR):
```
Os3Cl
1.0
-1.384 4.415 2.496
1.384 -4.415 2.496
1.384 4.415 -2.496
Os Cl
3 1
direct
0.000 0.000 0.000
0.086 0.352 0.734
0.618 0.352 0.266
0.406 0.906 0.500
```

## Properties
* spin magnetization: 0.00 μB/cell
* distance to the lowest polymorph of the same formula: 421.6 meV per atom
* theoretical density: 16.49 g/cm³
* formation energy from raw total energies: 1.037 eV per atom


Which of these has the lowest theoretical density?
La2CdCl